Material: CuSn2Bi
Method: DFT, PBE
State: optimized geometry

a b c (Å): 7.0278 7.0278 7.0278
angles (deg): 35.40 35.40 35.40
Last column: nearest neighbours and their distance in Å.
Element x y z (fractional)
Cu 0.0000 0.0000 0.0000  6 Sn 2.70-2.77
Sn 0.3968 0.3968 0.3968  3 Cu 2.77
Sn 0.6108 0.6108 0.6108  3 Cu 2.70
Bi 0.8403 0.8403 0.8403  1 Cu 3.15, 6 Sn 3.21-3.29

Summary:
- Final energy: -3.896 eV/atom
- Formation enthalpy at 0 K: 100 meV per atom
- Density of states at the Fermi level: 0.44 states/eV/atom
- Symmetry: R3m
- Magnetic moment: 0.00 μB per formula unit